Density functional theory data (PBE with a Hubbard U) for a geometry-optimized PrV2PdO8 structure.

Its size of the total moment is 1.02 μB per cell. The value obtained for the total DFT energy (no corrections) is -7.1688 eV/atom. The calculation puts the volume at 15.309 A^3/atom.

Unit cell a=5.6379 b=5.6379 c=6.6737 alpha=90.00 beta=90.00 gamma=120.00
Space group P-3m1 (No. 164)
Unique sites:
Pr: 0.0000 0.0000 0.0000
V: 0.3333 0.6667 0.2266
Pd: 0.0000 0.0000 0.5000
O: 0.1581 0.3162 0.2910
O: 0.3333 0.6667 0.9753